(1)
Ce6Sn3Rh (PBE, relaxed); magnetic moment = 6.2 μB per cell; formation energy = -0.427 eV per atom; SG = C2/m, No. 12; D(E_F) = 29.9 states/eV per cell
1.0
5.330 -3.323 0.000
5.330 3.323 0.000
-1.814 0.000 7.948
Ce Sn Rh
6 3 1
Direct
0.088 0.668 0.640 Ce
0.332 0.912 0.360 Ce
0.353 0.353 0.117 Ce
0.647 0.647 0.883 Ce
0.668 0.088 0.640 Ce
0.912 0.332 0.360 Ce
0.000 0.000 0.000 Sn
0.166 0.166 0.738 Sn
0.834 0.834 0.262 Sn
0.500 0.500 0.500 Rh



(2)
Ce3Sn2Rh (PBE, relaxed); magnetic moment = 10.5 μB per cell; formation energy = -0.678 eV per atom; SG = Pnma, No. 62; D(E_F) = 60.4 states/eV per cell
1.0
12.832 0.000 0.000
0.000 4.702 0.000
0.000 0.000 10.569
Ce Sn Rh
12 8 4
Direct
0.054 0.250 0.089 Ce
0.119 0.750 0.549 Ce
0.239 0.750 0.279 Ce
0.261 0.250 0.779 Ce
0.381 0.250 0.049 Ce
0.446 0.750 0.589 Ce
0.554 0.250 0.411 Ce
0.619 0.750 0.951 Ce
0.739 0.750 0.221 Ce
0.761 0.250 0.721 Ce
0.881 0.250 0.451 Ce
0.946 0.750 0.911 Ce
0.013 0.250 0.722 Sn
0.206 0.750 0.975 Sn
0.294 0.250 0.475 Sn
0.487 0.750 0.222 Sn
0.513 0.250 0.778 Sn
0.706 0.750 0.525 Sn
0.794 0.250 0.025 Sn
0.987 0.750 0.278 Sn
0.099 0.250 0.348 Rh
0.401 0.750 0.848 Rh
0.599 0.250 0.152 Rh
0.901 0.750 0.652 Rh



(3)
Ce6SnRh2 (PBE, relaxed); magnetic moment = 2.3 μB per cell; formation energy = -0.502 eV per atom; energy above the most stable polymorph in this dataset = 0.000 eV per atom; SG = C2/m, No. 12; D(E_F) = 21.3 states/eV per cell
1.0
5.348 -2.311 0.000
5.348 2.311 0.000
-0.090 0.000 8.936
Ce Sn Rh
6 1 2
Direct
0.076 0.076 0.361 Ce
0.290 0.290 0.904 Ce
0.412 0.412 0.314 Ce
0.588 0.588 0.686 Ce
0.710 0.710 0.096 Ce
0.924 0.924 0.639 Ce
0.000 0.000 0.000 Sn
0.255 0.255 0.612 Rh
0.745 0.745 0.388 Rh



(4)
Ce5SnRh6 (PBE, relaxed); magnetic moment = 0.3 μB per cell; formation energy = -0.701 eV per atom; SG = C2/m, No. 12; D(E_F) = 15.9 states/eV per cell
1.0
2.662 -6.834 0.000
2.662 6.834 0.000
-1.306 0.000 6.909
Ce Sn Rh
5 1 6
Direct
0.000 0.000 0.000 Ce
0.325 0.675 0.000 Ce
0.353 0.647 0.500 Ce
0.647 0.353 0.500 Ce
0.675 0.325 0.000 Ce
0.000 0.000 0.500 Sn
0.141 0.789 0.278 Rh
0.211 0.859 0.722 Rh
0.417 0.417 0.789 Rh
0.583 0.583 0.211 Rh
0.789 0.141 0.278 Rh
0.859 0.211 0.722 Rh



(5)
Ce11Sn9Rh4 (PBE, relaxed); magnetic moment = 7.6 μB per cell; formation energy = -0.729 eV per atom; SG = Cmmm, No. 65; D(E_F) = 54.8 states/eV per cell
1.0
7.053 -10.441 0.000
7.053 10.441 0.000
0.000 0.000 4.105
Ce Sn Rh
11 9 4
Direct
0.000 0.000 0.000 Ce
0.070 0.417 0.000 Ce
0.158 0.842 0.000 Ce
0.310 0.310 0.000 Ce
0.372 0.628 0.000 Ce
0.417 0.070 0.000 Ce
0.583 0.930 0.000 Ce
0.628 0.372 0.000 Ce
0.690 0.690 0.000 Ce
0.842 0.158 0.000 Ce
0.930 0.583 0.000 Ce
0.074 0.220 0.500 Sn
0.156 0.631 0.500 Sn
0.220 0.074 0.500 Sn
0.369 0.844 0.500 Sn
0.500 0.500 0.500 Sn
0.631 0.156 0.500 Sn
0.780 0.926 0.500 Sn
0.844 0.369 0.500 Sn
0.926 0.780 0.500 Sn
0.244 0.448 0.500 Rh
0.448 0.244 0.500 Rh
0.552 0.756 0.500 Rh
0.756 0.552 0.500 Rh



(6)
Ce4Sn8Rh (PBE, relaxed); magnetic moment = 2.3 μB per cell; formation energy = -0.591 eV per atom; SG = Pmm2, No. 25; D(E_F) = 21.8 states/eV per cell
1.0
4.475 0.000 0.000
0.000 4.545 0.000
0.000 0.000 17.001
Ce Sn Rh
4 8 1
Direct
0.000 0.000 0.000 Ce
0.000 0.500 0.485 Ce
0.500 0.000 0.784 Ce
0.500 0.500 0.292 Ce
0.000 0.000 0.324 Sn
0.000 0.000 0.621 Sn
0.000 0.500 0.145 Sn
0.000 0.500 0.853 Sn
0.500 0.000 0.148 Sn
0.500 0.000 0.449 Sn
0.500 0.500 0.620 Sn
0.500 0.500 0.969 Sn
0.000 0.500 0.701 Rh